# 1
Compound: Rb3H4Cl
Source: Alexandria via LeMat-Bulk
Functional: PBE
Structure: optimized geometry

The space group is C2/m (No. 12) and the conventional cell measures 32.187, 4.570 and 4.628 Å, with angles of 90.00, 98.11 and 90.00 degrees. The inequivalent atoms are Rb at (0.000, 0.000, 0.000), Rb at (0.192, 0.000, 0.685), H at (0.074, 0.500, 0.248), H at (0.091, 0.500, 0.157) and Cl at (0.000, 0.500, 0.500).

As for the uncorrected energy: -2.71 eV/atom.



# 2
Compound: Ho2Ni12P7
Source: Alexandria via LeMat-Bulk
Functional: PBE
Structure: optimized geometry

The space group is P-3 (No. 147) and the conventional cell measures 9.0617, 9.0617 and 3.6878 Å, with angles of 90.00, 90.00 and 120.00 degrees. The inequivalent atoms are Ho at (0.3333, 0.6667, 0.2511), Ni at (0.0573, 0.4349, 0.7501), Ni at (0.1142, 0.2559, 0.2451), P at (0.0000, 0.0000, 0.5000) and P at (0.1127, 0.7056, 0.7507).

As for the distance to the lowest polymorph of the same formula: 0.005 eV/atom.



What did we get for total magnetization? Answer: 0.000, 0.000 μB/cell, in the order shown.
What did we get for calculated density? Answer: 1.5, 7.9 g/cm3, in the order shown.